{
  "formula": "Co2Sn8Os",
  "functional": "GGA-PBE",
  "state": "relaxed",
  "lattice_angstrom": [[4.4563, -1.8449, -1.3998], [-2.0133, 8.8389, 1.5178], [-2.0133, 3.8417, 8.1038]],
  "species": ["Sn", "Os", "Sn", "Sn", "Co", "Sn", "Sn", "Sn", "Co", "Sn", "Sn"],
  "frac_coords": [[0.8245, 0.1351, 0.6055], [0.0000, 0.0000, 0.0000], [0.1755, 0.8649, 0.3945], [0.2827, 0.3800, 0.3800], [0.3625, 0.2450, 0.2450], [0.2978, 0.8759, 0.8759], [0.7173, 0.6200, 0.6200], [0.7022, 0.1241, 0.1241], [0.6375, 0.7550, 0.7550], [0.1755, 0.3945, 0.8649], [0.8245, 0.6055, 0.1351]],
  "crystal_system": "monoclinic",
  "formation_energy_mev_per_atom": 97,
  "e_tot_ev_per_atom": -5.127,
  "dos_ef_per_ev_cell": 3.74
}

***

{
  "formula": "Co3SnOs",
  "functional": "GGA-PBE",
  "state": "relaxed",
  "lattice_angstrom": [[4.4852, 0.0000, 0.0000], [0.0000, 4.4852, 0.0000], [0.0000, 0.0000, 4.4852]],
  "species": ["Co", "Co", "Os", "Co", "Sn"],
  "frac_coords": [[0.5000, 0.0000, 0.0000], [0.0000, 0.5000, 0.0000], [0.0000, 0.0000, 0.0000], [0.0000, 0.0000, 0.5000], [0.5000, 0.5000, 0.5000]],
  "relative_energy_mev_per_atom": 0,
  "crystal_system": "cubic",
  "formation_energy_mev_per_atom": 1255,
  "e_tot_ev_per_atom": -6.055,
  "dos_ef_per_ev_cell": 9.58
}

***

{
  "formula": "UCoSnOs",
  "functional": "GGA-PBE",
  "state": "relaxed",
  "lattice_angstrom": [[-3.9153, -0.4983, -2.4827], [-0.1849, -3.1190, -3.4611], [-2.5837, -3.8530, 0.4693]],
  "species": ["Sn", "U", "Os", "Co"],
  "frac_coords": [[0.5000, 0.5000, 0.5000], [0.0000, 0.0000, 0.0000], [0.2500, 0.2500, 0.2500], [0.7500, 0.7500, 0.7500]],
  "crystal_system": "cubic",
  "formation_energy_mev_per_atom": 28,
  "e_tot_ev_per_atom": -8.379,
  "dos_ef_per_ev_cell": 5.65
}